# 1
Material: K2Fe3Cl9
Method: DFT, PBE
State: relaxed

Cell: 11.1016 16.3715 10.0916 Å, 90.00 118.11 90.00°
Space group C2/m (No. 12)
Symmetry-distinct sites (fractional):
K 0.0637 0.1678 0.2956 [8 per cell]
Fe 0.1576 0.5000 0.8361 [4 per cell]
Fe 0.1746 0.3795 0.1962 [8 per cell]
Cl 0.0000 0.2895 0.0000 [4 per cell]
Cl 0.0199 0.4003 0.2886 [8 per cell]
Cl 0.1854 0.2191 0.6449 [8 per cell]
Cl 0.1979 0.0000 0.6672 [4 per cell]
Cl 0.2132 0.0000 0.2771 [4 per cell]
Cl 0.2327 0.1022 0.9700 [8 per cell]

Properties
formation energy from raw total energies	-1.0660	eV/atom
uncorrected energy	-4.223	eV per atom

# 2
Material: KFeCl2
Method: DFT, PBE
State: relaxed

Cell: 4.9069 4.9069 21.6090 Å, 90.00 90.00 120.00°
Space group R-3m (No. 166, hexagonal axes)
Symmetry-distinct sites (fractional):
K 0.0000 0.0000 0.0000 [3 per cell]
Fe 0.0000 0.0000 0.5000 [3 per cell]
Cl 0.0000 0.0000 0.3994 [6 per cell]

Properties
formation energy from raw total energies	-0.7881	eV/atom
uncorrected energy	-4.101	eV per atom

# 3
Material: KFeCl
Method: DFT, PBE
State: relaxed

Cell: 4.1174 5.3116 13.1744 Å, 90.00 90.00 90.00°
Space group Fmm2 (No. 42)
Symmetry-distinct sites (fractional):
K 0.0000 0.0000 0.0000 [4 per cell]
Fe 0.0000 0.0000 0.7127 [4 per cell]
Cl 0.0000 0.0000 0.3290 [4 per cell]

Properties
formation energy from raw total energies	0.1027	eV/atom
uncorrected energy	-3.700	eV per atom

# 4
Material: KFe2Cl
Method: DFT, PBE
State: relaxed

Cell: 2.9614 5.4092 6.1105 Å, 90.00 90.00 90.00°
Space group Pmmm (No. 47)
Symmetry-distinct sites (fractional):
K 0.0000 0.0000 0.0000 [1 per cell]
Fe 0.5000 0.2124 0.5000 [2 per cell]
Cl 0.0000 0.5000 0.0000 [1 per cell]

Properties
formation energy from raw total energies	0.7213	eV/atom
uncorrected energy	-4.246	eV per atom

# 5
Material: KFeCl2
Method: DFT, PBE
State: relaxed

Cell: 6.1277 6.1277 12.4679 Å, 90.00 90.00 90.00°
Space group I-42d (No. 122)
Symmetry-distinct sites (fractional):
K 0.0000 0.0000 0.0000 [4 per cell]
Fe 0.0000 0.0000 0.5000 [4 per cell]
Cl 0.1500 0.2500 0.6250 [8 per cell]

Properties
formation energy from raw total energies	-0.7898	eV/atom
uncorrected energy	-4.103	eV per atom

# 6
Material: KFeCl
Method: DFT, PBE
State: relaxed

Cell: 3.5020 3.5020 6.7829 Å, 90.00 90.00 120.00°
Space group P3m1 (No. 156)
Symmetry-distinct sites (fractional):
K 0.0000 0.0000 0.0000 [1 per cell]
Fe 0.6667 0.3333 0.5769 [1 per cell]
Cl 0.3333 0.6667 0.3475 [1 per cell]

Properties
formation energy from raw total energies	0.0889	eV/atom
uncorrected energy	-3.713	eV per atom

# 7
Material: KFeCl2
Method: DFT, PBE
State: relaxed

Cell: 7.0195 7.0195 7.0195 Å, 90.00 90.00 90.00°
Space group Fm-3m (No. 225)
Symmetry-distinct sites (fractional):
K 0.0000 0.0000 0.0000 [4 per cell]
Fe 0.0000 0.0000 0.5000 [4 per cell]
Cl 0.2500 0.2500 0.2500 [8 per cell]

Properties
formation energy from raw total energies	-0.4890	eV/atom
uncorrected energy	-3.802	eV per atom

# 8
Material: KFe2Cl
Method: DFT, PBE
State: relaxed

Cell: 3.0747 6.4576 9.9684 Å, 90.00 90.00 90.00°
Space group Imm2 (No. 44)
Symmetry-distinct sites (fractional):
K 0.0000 0.0000 0.0000 [2 per cell]
Fe 0.0000 0.0000 0.4602 [2 per cell]
Fe 0.0000 0.5000 0.1330 [2 per cell]
Cl 0.0000 0.5000 0.7740 [2 per cell]

Properties
formation energy from raw total energies	0.3468	eV/atom
uncorrected energy	-4.621	eV per atom

# 9
Material: KFeCl
Method: DFT, PBE
State: relaxed

Cell: 7.5955 7.5955 7.5955 Å, 90.00 90.00 90.00°
Space group F-43m (No. 216)
Symmetry-distinct sites (fractional):
K 0.0000 0.0000 0.0000 [4 per cell]
Fe 0.2500 0.2500 0.2500 [4 per cell]
Cl 0.2500 0.2500 0.7500 [4 per cell]

Properties
formation energy from raw total energies	0.5235	eV/atom
uncorrected energy	-3.279	eV per atom

# 10
Material: KFe2Cl
Method: DFT, PBE
State: relaxed

Cell: 3.0141 5.3917 9.8719 Å, 90.00 90.00 90.00°
Space group Cmmm (No. 65)
Symmetry-distinct sites (fractional):
K 0.0000 0.0000 0.0000 [2 per cell]
Fe 0.0000 0.5000 0.2994 [4 per cell]
Cl 0.0000 0.0000 0.5000 [2 per cell]

Properties
formation energy from raw total energies	0.8100	eV/atom
uncorrected energy	-4.157	eV per atom

# 11
Material: KFe2Cl
Method: DFT, PBE
State: relaxed

Cell: 3.8300 3.8300 6.9262 Å, 90.00 90.00 90.00°
Space group P4/mmm (No. 123)
Symmetry-distinct sites (fractional):
K 0.0000 0.0000 0.0000 [1 per cell]
Fe 0.0000 0.5000 0.5000 [2 per cell]
Cl 0.5000 0.5000 0.0000 [1 per cell]

Properties
formation energy from raw total energies	0.4173	eV/atom
uncorrected energy	-4.550	eV per atom

# 12
Material: KFeCl3
Method: DFT, PBE
State: relaxed

Cell: 12.4695 9.1704 5.0647 Å, 90.00 93.03 90.00°
Space group Cm (No. 8)
Symmetry-distinct sites (fractional):
K 0.0000 0.0000 0.0000 [2 per cell]
K 0.1023 0.5000 0.5096 [2 per cell]
Fe 0.3015 0.1526 0.2537 [4 per cell]
Cl 0.1786 0.2911 0.0230 [4 per cell]
Cl 0.1964 0.0000 0.4971 [2 per cell]
Cl 0.4064 0.0000 0.0111 [2 per cell]
Cl 0.4239 0.2909 0.4863 [4 per cell]

Properties
formation energy from raw total energies	-1.2310	eV/atom
uncorrected energy	-4.251	eV per atom

# 13
Material: KFeCl2
Method: DFT, PBE
State: relaxed

Cell: 4.0078 3.6657 6.8198 Å, 90.00 90.07 90.00°
Space group P2/m (No. 10)
Symmetry-distinct sites (fractional):
K 0.0000 0.0000 0.0000 [1 per cell]
Fe 0.5000 0.0000 0.5000 [1 per cell]
Cl 0.4946 0.5000 0.2640 [2 per cell]

Properties
formation energy from raw total energies	-0.7937	eV/atom
uncorrected energy	-4.107	eV per atom

# 14
Material: KFeCl
Method: DFT, PBE
State: relaxed

Cell: 3.9711 3.9711 5.3815 Å, 90.00 90.00 120.00°
Space group P3m1 (No. 156)
Symmetry-distinct sites (fractional):
K 0.0000 0.0000 0.0000 [1 per cell]
Fe 0.3333 0.6667 0.5028 [1 per cell]
Cl 0.6667 0.3333 0.5235 [1 per cell]

Properties
formation energy from raw total energies	0.1036	eV/atom
uncorrected energy	-3.699	eV per atom

# 15
Material: KFeCl2
Method: DFT, PBE
State: relaxed

Cell: 13.9517 3.9623 4.5977 Å, 90.00 104.96 90.00°
Space group Cm (No. 8)
Symmetry-distinct sites (fractional):
K 0.0000 0.0000 0.0000 [2 per cell]
Fe 0.2213 0.5000 0.7256 [2 per cell]
Cl 0.0516 0.5000 0.5401 [2 per cell]
Cl 0.3029 0.0000 0.8240 [2 per cell]

Properties
formation energy from raw total energies	-0.7869	eV/atom
uncorrected energy	-4.100	eV per atom

# 16
Material: K2Fe2Cl7
Method: DFT, PBE
State: relaxed

Cell: 9.7080 12.4630 6.5230 Å, 90.00 100.21 90.00°
Space group C2/m (No. 12)
Symmetry-distinct sites (fractional):
K 0.0000 0.1981 0.0000 [4 per cell]
Fe 0.2212 0.5000 0.4171 [4 per cell]
Cl 0.0000 0.5000 0.5000 [2 per cell]
Cl 0.1284 0.0000 0.2819 [4 per cell]
Cl 0.2391 0.3507 0.2330 [8 per cell]

Properties
formation energy from raw total energies	-1.2257	eV/atom
uncorrected energy	-4.139	eV per atom

# 17
Material: K5Fe2Cl12
Method: DFT, PBE
State: relaxed

Cell: 17.1915 7.1843 10.3097 Å, 90.00 107.27 90.00°
Space group C2/m (No. 12)
Symmetry-distinct sites (fractional):
K 0.0000 0.0000 0.0000 [2 per cell]
K 0.1913 0.5000 0.8580 [4 per cell]
K 0.1922 0.5000 0.3413 [4 per cell]
Fe 0.0000 0.2464 0.5000 [4 per cell]
Cl 0.9997 0.5000 0.3341 [4 per cell]
Cl 0.0007 0.0000 0.6645 [4 per cell]
Cl 0.1418 0.2523 0.5692 [8 per cell]
Cl 0.1523 0.2533 0.0839 [8 per cell]

Properties
formation energy from raw total energies	-1.2880	eV/atom
uncorrected energy	-3.634	eV per atom

# 18
Material: KFeCl2
Method: DFT, PBE
State: relaxed

Cell: 3.6201 3.6540 13.9088 Å, 90.00 90.00 90.00°
Space group Imm2 (No. 44)
Symmetry-distinct sites (fractional):
K 0.0000 0.0000 0.0000 [2 per cell]
Fe 0.0000 0.5000 0.2624 [2 per cell]
Cl 0.0000 0.0000 0.3773 [2 per cell]
Cl 0.0000 0.5000 0.6763 [2 per cell]

Properties
formation energy from raw total energies	-0.6585	eV/atom
uncorrected energy	-3.972	eV per atom

# 19
Material: KFeCl5
Method: DFT, PBE
State: relaxed

Cell: 12.2086 9.2747 7.8919 Å, 90.00 111.08 90.00°
Space group C2/c (No. 15)
Symmetry-distinct sites (fractional):
K 0.2500 0.2500 0.0000 [4 per cell]
Fe 0.0000 0.2126 0.2500 [4 per cell]
Cl 0.0000 0.4507 0.2500 [4 per cell]
Cl 0.0209 0.2044 0.5398 [8 per cell]
Cl 0.1768 0.1054 0.3214 [8 per cell]

Properties
formation energy from raw total energies	-0.9761	eV/atom
uncorrected energy	-3.661	eV per atom

# 20
Material: KFeCl3
Method: DFT, PBE
State: relaxed

Cell: 9.5626 8.1623 8.4102 Å, 90.00 116.08 90.00°
Space group P2_1/c (No. 14)
Symmetry-distinct sites (fractional):
K 0.1085 0.2494 0.0542 [4 per cell]
Fe 0.3319 0.6108 0.9158 [4 per cell]
Cl 0.0553 0.5311 0.7782 [4 per cell]
Cl 0.2865 0.7485 0.6424 [4 per cell]
Cl 0.3933 0.1738 0.4470 [4 per cell]

Properties
formation energy from raw total energies	-1.1750	eV/atom
uncorrected energy	-4.195	eV per atom

# 21
Material: KFe2Cl6
Method: DFT, PBE
State: relaxed

Cell: 6.7190 14.3653 14.6109 Å, 90.00 90.39 90.00°
Space group C2/c (No. 15)
Symmetry-distinct sites (fractional):
K 0.0000 0.0603 0.2500 [4 per cell]
Fe 0.1158 0.3518 0.1690 [8 per cell]
Cl 0.1916 0.2118 0.1222 [8 per cell]
Cl 0.2274 0.4747 0.0966 [8 per cell]
Cl 0.2279 0.3643 0.3198 [8 per cell]

Properties
formation energy from raw total energies	-1.0630	eV/atom
uncorrected energy	-4.297	eV per atom

# 22
Material: KFe2Cl7
Method: DFT, PBE
State: relaxed

Cell: 10.9585 14.0836 4.8889 Å, 90.00 90.00 90.00°
Space group Cmmm (No. 65)
Symmetry-distinct sites (fractional):
K 0.0000 0.0000 0.0000 [2 per cell]
Fe 0.2153 0.5000 0.5000 [4 per cell]
Cl 0.0000 0.5000 0.5000 [2 per cell]
Cl 0.1671 0.1269 0.5000 [8 per cell]
Cl 0.1942 0.5000 0.0000 [4 per cell]

Properties
formation energy from raw total energies	-0.9047	eV/atom
uncorrected energy	-4.000	eV per atom

# 23
Material: KFe2Cl
Method: DFT, PBE
State: relaxed

Cell: 3.0079 3.0079 8.9945 Å, 90.00 90.00 90.00°
Space group P4/mmm (No. 123)
Symmetry-distinct sites (fractional):
K 0.0000 0.0000 0.0000 [1 per cell]
Fe 0.5000 0.5000 0.3221 [2 per cell]
Cl 0.0000 0.0000 0.5000 [1 per cell]

Properties
formation energy from raw total energies	0.8697	eV/atom
uncorrected energy	-4.098	eV per atom

# 24
Material: KFe2Cl
Method: DFT, PBE
State: relaxed

Cell: 3.0470 3.0470 28.9381 Å, 90.00 90.00 120.00°
Space group R-3m (No. 166, hexagonal axes)
Symmetry-distinct sites (fractional):
K 0.0000 0.0000 0.0000 [3 per cell]
Fe 0.0000 0.0000 0.2319 [6 per cell]
Cl 0.0000 0.0000 0.5000 [3 per cell]

Properties
formation energy from raw total energies	0.7696	eV/atom
uncorrected energy	-4.198	eV per atom

# 25
Material: K2Fe2Cl
Method: DFT, PBE
State: relaxed

Cell: 6.5739 6.5739 6.9765 Å, 90.00 90.00 90.00°
Space group I4/mmm (No. 139)
Symmetry-distinct sites (fractional):
K 0.0000 0.5000 0.2500 [4 per cell]
Fe 0.0000 0.0000 0.1489 [4 per cell]
Cl 0.0000 0.0000 0.5000 [2 per cell]

Properties
formation energy from raw total energies	0.4331	eV/atom
uncorrected energy	-3.760	eV per atom